19
Lattice="0.015 -5.549 2.150 3.022 -1.136 4.999 -5.100 -0.585 6.287" Properties=species:S:1:pos:R:3 comment="BaMgV2Ni3H2O10 | Alexandria | GGA+U | relaxed" m_tot_mub_per_cell=8.000 spacegroup="C2/m (12)" e_above_lowest_polymorph_mev_per_atom=86 pbc="T T T"
Ni 0.007 -2.774 1.075
Ni 0.000 0.000 0.000
Ni 1.511 -0.568 2.500
O 1.306 -2.537 5.515
O -1.983 -2.698 9.235
O 1.819 -5.386 6.422
O -0.167 -5.025 7.958
O -3.369 -4.733 7.921
O -0.011 -2.010 3.124
O -1.896 -2.245 5.478
O -3.882 -1.884 7.014
O -2.053 -5.260 10.312
O -0.081 -4.572 4.201
H -3.082 -2.047 6.421
H 1.018 -5.224 7.015
V -1.641 -4.451 8.624
V -0.423 -2.819 4.812
Ba -2.550 -0.292 3.144
Mg 1.518 -3.343 3.574